[1]
Compound: InTcS3
Source: Alexandria
Functional: GGA-PBE
Structure: optimized geometry

The structure in CIF format:
```
data_InTcS3
_chemical_formula_sum 'In1 Tc1 S3'
_space_group_name_H-M_alt 'P 1'
_space_group_IT_number 1
_cell_length_a 4.701
_cell_length_b 4.701
_cell_length_c 4.701
_cell_angle_alpha 90.00
_cell_angle_beta 90.00
_cell_angle_gamma 90.00
loop_
_space_group_symop_operation_xyz
'x,y,z'
loop_
_atom_site_label
_atom_site_type_symbol
_atom_site_fract_x
_atom_site_fract_y
_atom_site_fract_z
Tc1 Tc 0.000 0.000 0.000
S1 S 0.500 0.000 0.000
S2 S 0.000 0.000 0.500
S3 S 0.000 0.500 0.000
In1 In 0.500 0.500 0.500
```

Computed properties:
ΔE_f (raw) in eV per atom: 0.02

[2]
Compound: Tm4Zn3
Source: Alexandria
Functional: GGA-PBE
Structure: optimized geometry

The structure in CIF format:
```
data_Tm4Zn3
_chemical_formula_sum 'Tm4 Zn3'
_space_group_name_H-M_alt 'P 1'
_space_group_IT_number 1
_cell_length_a 4.938
_cell_length_b 4.938
_cell_length_c 8.451
_cell_angle_alpha 73.01
_cell_angle_beta 73.01
_cell_angle_gamma 60.00
loop_
_space_group_symop_operation_xyz
'x,y,z'
loop_
_atom_site_label
_atom_site_type_symbol
_atom_site_fract_x
_atom_site_fract_y
_atom_site_fract_z
Tm1 Tm 0.621 0.621 0.137
Tm2 Tm 0.379 0.379 0.863
Tm3 Tm 0.873 0.873 0.382
Tm4 Tm 0.127 0.127 0.618
Zn1 Zn 0.748 0.748 0.756
Zn2 Zn 0.000 0.000 0.000
Zn3 Zn 0.252 0.252 0.244
```

Computed properties:
Calculated formation energy in eV per formula unit: -1.4

[3]
Compound: Th8TlC5
Source: Alexandria
Functional: GGA-PBE
Structure: optimized geometry

The structure in CIF format:
```
data_Th8TlC5
_chemical_formula_sum 'Th8 Tl1 C5'
_space_group_name_H-M_alt 'P 1'
_space_group_IT_number 1
_cell_length_a 3.698
_cell_length_b 9.418
_cell_length_c 9.686
_cell_angle_alpha 103.80
_cell_angle_beta 101.01
_cell_angle_gamma 90.00
loop_
_space_group_symop_operation_xyz
'x,y,z'
loop_
_atom_site_label
_atom_site_type_symbol
_atom_site_fract_x
_atom_site_fract_y
_atom_site_fract_z
C1 C 0.663 0.986 0.326
C2 C 0.337 0.014 0.674
C3 C 0.295 0.649 0.590
C4 C 0.000 0.000 0.000
C5 C 0.705 0.351 0.410
Th1 Th 0.166 0.494 0.332
Th2 Th 0.423 0.838 0.846
Th3 Th 0.238 0.165 0.476
Th4 Th 0.762 0.835 0.524
Th5 Th 0.577 0.162 0.154
Th6 Th 0.911 0.165 0.823
Th7 Th 0.834 0.506 0.668
Th8 Th 0.088 0.835 0.177
Tl1 Tl 0.500 0.500 0.000
```

Computed properties:
Calculated formation energy in eV per formula unit: -4.2